Density functional theory data (GGA-PBE) for an optimized crystal structure of HfInAgF6.

Lattice parameters (Å, degrees): 6.1592 10.8019 5.3502 90.00 90.34 90.00
Closest atoms and distances in Å follow each position.
Space group C2 (No. 5)
Inequivalent atoms, fractional coordinates:
1 Hf 0.0000 0.0000 0.0000 x2  6 F 2.02
2 In 0.0000 0.3338 0.5000 x2  6 F 2.78-2.81
3 Ag 0.0000 0.6685 0.0000 x2  6 F 2.51-2.53
4 F 0.1272 0.8637 0.7886 x4  1 Hf 2.02
5 F 0.1410 0.1316 0.7885 x4  1 Hf 2.02
6 F 0.2278 0.5045 0.7887 x4  1 Hf 2.02

Results
Electronic total energy, eV per cell: -102.89
Crystal system: monoclinic
DOS at the Fermi energy, states/eV/atom: 0.00
Formation energy without anion corrections, eV/atom: -2.742

***

Density functional theory data (GGA-PBE) for an optimized crystal structure of HfAg2IrF.

Lattice parameters (Å, degrees): 5.2057 5.2057 3.8560 90.00 90.00 90.00
Closest atoms and distances in Å follow each position.
Space group P4/mmm (No. 123)
Inequivalent atoms, fractional coordinates:
1 Hf 0.0000 0.0000 0.0000 x1  2 F 1.93
2 Ag 0.0000 0.5000 0.0000 x2  2 Hf 2.60
3 Ir 0.5000 0.5000 0.5000 x1  8 Ag 3.24
4 F 0.0000 0.0000 0.5000 x1  2 Hf 1.93

Results
Electronic total energy, eV per cell: -24.51
Crystal system: tetragonal
DOS at the Fermi energy, states/eV/atom: 0.78
Formation energy without anion corrections, eV/atom: 0.376

***

Density functional theory data (GGA-PBE) for an optimized crystal structure of KHfAgF6.

Lattice parameters (Å, degrees): 6.1289 6.1289 5.2888 90.00 90.00 120.00
Closest atoms and distances in Å follow each position.
Space group P312 (No. 149)
Inequivalent atoms, fractional coordinates:
1 K 0.0000 0.0000 0.0000 x1  6 F 2.73
2 Hf 0.6667 0.3333 0.5000 x1  6 F 2.02
3 Ag 0.3333 0.6667 0.5000 x1  6 F 2.51
4 F 0.3963 0.0599 0.7142 x6  1 Hf 2.02

Results
Electronic total energy, eV per cell: -52.44
Crystal system: trigonal
DOS at the Fermi energy, states/eV/atom: 0.00
Formation energy without anion corrections, eV/atom: -3.035

***

Density functional theory data (GGA-PBE) for an optimized crystal structure of LiHfAgF6.

Lattice parameters (Å, degrees): 5.4483 5.4483 10.4940 90.00 90.00 120.00
Closest atoms and distances in Å follow each position.
Space group P-31c (No. 163)
Inequivalent atoms, fractional coordinates:
1 Li 0.3333 0.6667 0.2500 x2  6 F 2.08
2 Hf 0.3333 0.6667 0.7500 x2  6 F 2.01
3 Ag 0.0000 0.0000 0.0000 x2  6 F 2.53
4 F 0.0093 0.3753 0.6448 x12  1 Hf 2.01, 1 Li 2.08

Results
Electronic total energy, eV per cell: -106.26
Crystal system: trigonal
DOS at the Fermi energy, states/eV/atom: 0.00
Formation energy without anion corrections, eV/atom: -3.020